# 1
# TbTm3Pd6 | the Alexandria database | GGA-PBE | optimized geometry
data_TbTm3Pd6
_chemical_formula_sum 'Tb2 Tm6 Pd12'
_space_group_name_H-M_alt 'P 1 21/m 1'
_space_group_IT_number 11
_cell_length_a 8.5475
_cell_length_b 4.6955
_cell_length_c 10.0728
_cell_angle_alpha 90.00
_cell_angle_beta 102.05
_cell_angle_gamma 90.00
loop_
_space_group_symop_operation_xyz
'x,y,z'
'-x,-y,-z'
'-x,y+1/2,-z'
'x,-y+1/2,z'
loop_
_atom_site_label
_atom_site_fract_x
_atom_site_fract_y
_atom_site_fract_z
Tb1 0.0632 0.2500 0.3763
Tm1 0.2352 0.2500 0.0335
Tm2 0.3436 0.7500 0.8087
Tm3 0.4556 0.2500 0.6080
Pd1 0.0700 0.7500 0.9144
Pd2 0.1531 0.2500 0.7157
Pd3 0.1613 0.7500 0.2089
Pd4 0.2515 0.7500 0.5136
Pd5 0.3774 0.2500 0.3142
Pd6 0.4631 0.7500 0.0953
# * DFT formation energy: -884 meV/atom
# * raw total energy: -5.8043 eV per atom
# * spin magnetization: 0.0 μB per formula unit

# 2
# TbTm4Pd2 | the Alexandria database | GGA-PBE | optimized geometry
data_TbTm4Pd2
_chemical_formula_sum 'Tb3 Tm12 Pd6'
_space_group_name_H-M_alt 'R -3 m'
_space_group_IT_number 166
_space_group_name_Hall '-R 3 2"'
_cell_length_a 3.8010
_cell_length_b 3.8010
_cell_length_c 46.5255
_cell_angle_alpha 90.00
_cell_angle_beta 90.00
_cell_angle_gamma 120.00
loop_
_atom_site_label
_atom_site_fract_x
_atom_site_fract_y
_atom_site_fract_z
Tb1 0.0000 0.0000 0.0000
Tm1 0.0000 0.0000 0.1977
Tm2 0.0000 0.0000 0.3942
Pd1 0.0000 0.0000 0.0982
# * DFT formation energy: -378 meV/atom
# * energy above the lowest structure with this stoichiometry: 0.084 eV/atom
# * raw total energy: -5.0785 eV per atom
# * spin magnetization: 0.0 μB per formula unit

# 3
# TbTmPd2 | the Alexandria database | GGA-PBE | optimized geometry
data_TbTmPd2
_chemical_formula_sum 'Tb1 Tm1 Pd2'
_space_group_name_H-M_alt 'P 1 m 1'
_space_group_IT_number 6
_cell_length_a 3.7285
_cell_length_b 4.5260
_cell_length_c 5.5800
_cell_angle_alpha 90.00
_cell_angle_beta 109.59
_cell_angle_gamma 90.00
loop_
_space_group_symop_operation_xyz
'x,y,z'
'x,-y,z'
loop_
_atom_site_label
_atom_site_fract_x
_atom_site_fract_y
_atom_site_fract_z
Tb1 0.0000 0.0000 0.0000
Tm1 0.7252 0.5000 0.4497
Pd1 0.2745 0.0000 0.5489
Pd2 0.4479 0.5000 0.8955
# * DFT formation energy: -929 meV/atom
# * energy above the lowest structure with this stoichiometry: 0.000 eV/atom
# * raw total energy: -5.8005 eV per atom
# * spin magnetization: 0.0 μB per formula unit

# 4
# Tb2TmPd | the Alexandria database | GGA-PBE | optimized geometry
data_Tb2TmPd
_chemical_formula_sum 'Tb6 Tm3 Pd3'
_space_group_name_H-M_alt 'R -3 m'
_space_group_IT_number 166
_space_group_name_Hall '-R 3 2"'
_cell_length_a 3.4108
_cell_length_b 3.4108
_cell_length_c 32.8929
_cell_angle_alpha 90.00
_cell_angle_beta 90.00
_cell_angle_gamma 120.00
loop_
_atom_site_label
_atom_site_fract_x
_atom_site_fract_y
_atom_site_fract_z
Tb1 0.0000 0.0000 0.0798
Tm1 0.0000 0.0000 0.5000
Pd1 0.0000 0.0000 0.0000
# * DFT formation energy: 49 meV/atom
# * energy above the lowest structure with this stoichiometry: 0.521 eV/atom
# * raw total energy: -4.6823 eV per atom
# * spin magnetization: 0.0 μB per formula unit

# 5
# TbTm2Pd8 | the Alexandria database | GGA-PBE | optimized geometry
data_TbTm2Pd8
_chemical_formula_sum 'Tb2 Tm4 Pd16'
_space_group_name_H-M_alt 'C 1 2/m 1'
_space_group_IT_number 12
_cell_length_a 14.7860
_cell_length_b 4.1856
_cell_length_c 6.7333
_cell_angle_alpha 90.00
_cell_angle_beta 108.33
_cell_angle_gamma 90.00
loop_
_space_group_symop_operation_xyz
'x,y,z'
'-x,-y,-z'
'-x,y,-z'
'x,-y,z'
'x+1/2,y+1/2,z'
'-x+1/2,-y+1/2,-z'
'-x+1/2,y+1/2,-z'
'x+1/2,-y+1/2,z'
loop_
_atom_site_label
_atom_site_fract_x
_atom_site_fract_y
_atom_site_fract_z
Tb1 0.0000 0.0000 0.0000
Tm1 0.2181 0.5000 0.6661
Pd1 0.0382 0.5000 0.7169
Pd2 0.0930 0.0000 0.4538
Pd3 0.1429 0.5000 0.1852
Pd4 0.1781 0.0000 0.9082
# * DFT formation energy: -790 meV/atom
# * raw total energy: -5.8009 eV per atom
# * spin magnetization: 0.0 μB per formula unit

# 6
# TbTmPd2 | the Alexandria database | GGA-PBE | optimized geometry
data_TbTmPd2
_chemical_formula_sum 'Tb3 Tm3 Pd6'
_space_group_name_H-M_alt 'R -3 m'
_space_group_IT_number 166
_space_group_name_Hall '-R 3 2"'
_cell_length_a 4.0778
_cell_length_b 4.0778
_cell_length_c 19.7409
_cell_angle_alpha 90.00
_cell_angle_beta 90.00
_cell_angle_gamma 120.00
loop_
_atom_site_label
_atom_site_fract_x
_atom_site_fract_y
_atom_site_fract_z
Tb1 0.0000 0.0000 0.0000
Tm1 0.0000 0.0000 0.5000
Pd1 0.0000 0.0000 0.2475
# * DFT formation energy: -746 meV/atom
# * energy above the lowest structure with this stoichiometry: 0.182 eV/atom
# * raw total energy: -5.6182 eV per atom
# * spin magnetization: 0.0 μB per formula unit

# 7
# Tb3Tm2Pd3 | the Alexandria database | GGA-PBE | optimized geometry
data_Tb3Tm2Pd3
_chemical_formula_sum 'Tb6 Tm4 Pd6'
_space_group_name_H-M_alt 'I m m m'
_space_group_IT_number 71
_space_group_name_Hall '-I 2 2'
_cell_length_a 3.5307
_cell_length_b 5.1633
_cell_length_c 21.0396
_cell_angle_alpha 90.00
_cell_angle_beta 90.00
_cell_angle_gamma 90.00
loop_
_atom_site_label
_atom_site_fract_x
_atom_site_fract_y
_atom_site_fract_z
Tb1 0.0000 0.0000 0.0000
Tb2 0.0000 0.5000 0.1169
Tm1 0.0000 0.0000 0.2258
Pd1 0.0000 0.0000 0.5000
Pd2 0.0000 0.5000 0.3834
# * DFT formation energy: -637 meV/atom
# * raw total energy: -5.4390 eV per atom
# * spin magnetization: 0.0 μB per formula unit

# 8
# Tb5Tm2Pd4 | the Alexandria database | GGA-PBE | optimized geometry
data_Tb5Tm2Pd4
_chemical_formula_sum 'Tb10 Tm4 Pd8'
_space_group_name_H-M_alt 'C 1 2/m 1'
_space_group_IT_number 12
_cell_length_a 23.0955
_cell_length_b 3.7379
_cell_length_c 7.2087
_cell_angle_alpha 90.00
_cell_angle_beta 107.80
_cell_angle_gamma 90.00
loop_
_space_group_symop_operation_xyz
'x,y,z'
'-x,-y,-z'
'-x,y,-z'
'x,-y,z'
'x+1/2,y+1/2,z'
'-x+1/2,-y+1/2,-z'
'-x+1/2,y+1/2,-z'
'x+1/2,-y+1/2,z'
loop_
_atom_site_label
_atom_site_fract_x
_atom_site_fract_y
_atom_site_fract_z
Tb1 0.0000 0.0000 0.0000
Tb2 0.1208 0.5000 0.8796
Tb3 0.1352 0.5000 0.3976
Tm1 0.2344 0.0000 0.7802
Pd1 0.0046 0.5000 0.3071
Pd2 0.0765 0.0000 0.5757
# * DFT formation energy: -349 meV/atom
# * raw total energy: -5.1545 eV per atom
# * spin magnetization: 0.0 μB per formula unit

# 9
# Tb2TmPd | the Alexandria database | GGA-PBE | optimized geometry
data_Tb2TmPd
_chemical_formula_sum 'Tb8 Tm4 Pd4'
_space_group_name_H-M_alt 'C m c m'
_space_group_IT_number 63
_space_group_name_Hall '-C 2c 2'
_cell_length_a 3.7668
_cell_length_b 12.1265
_cell_length_c 9.4167
_cell_angle_alpha 90.00
_cell_angle_beta 90.00
_cell_angle_gamma 90.00
loop_
_atom_site_label
_atom_site_fract_x
_atom_site_fract_y
_atom_site_fract_z
Tb1 0.0000 0.1346 0.0598
Tm1 0.0000 0.4342 0.2500
Pd1 0.0000 0.2607 0.7500
# * DFT formation energy: -452 meV/atom
# * energy above the lowest structure with this stoichiometry: 0.020 eV/atom
# * raw total energy: -5.1831 eV per atom
# * spin magnetization: 0.0 μB per formula unit

# 10
# TbTm5Pd6 | the Alexandria database | GGA-PBE | optimized geometry
data_TbTm5Pd6
_chemical_formula_sum 'Tb2 Tm10 Pd12'
_space_group_name_H-M_alt 'I m m m'
_space_group_IT_number 71
_space_group_name_Hall '-I 2 2'
_cell_length_a 4.9579
_cell_length_b 6.8064
_cell_length_c 14.8700
_cell_angle_alpha 90.00
_cell_angle_beta 90.00
_cell_angle_gamma 90.00
loop_
_atom_site_label
_atom_site_fract_x
_atom_site_fract_y
_atom_site_fract_z
Tb1 0.0000 0.0000 0.0000
Tm1 0.0000 0.0000 0.3333
Tm2 0.0000 0.5000 0.0000
Tm3 0.0000 0.5000 0.3331
Pd1 0.0000 0.2451 0.5000
Pd2 0.0000 0.2521 0.1690
# * DFT formation energy: -927 meV/atom
# * raw total energy: -5.7729 eV per atom
# * spin magnetization: 0.0 μB per formula unit

> The lowest DFT formation energy belongs to which entry?

number 3

Repeat the fourth record exactly.
# Tb2TmPd | the Alexandria database | GGA-PBE | optimized geometry
data_Tb2TmPd
_chemical_formula_sum 'Tb6 Tm3 Pd3'
_space_group_name_H-M_alt 'R -3 m'
_space_group_IT_number 166
_space_group_name_Hall '-R 3 2"'
_cell_length_a 3.4108
_cell_length_b 3.4108
_cell_length_c 32.8929
_cell_angle_alpha 90.00
_cell_angle_beta 90.00
_cell_angle_gamma 120.00
loop_
_atom_site_label
_atom_site_fract_x
_atom_site_fract_y
_atom_site_fract_z
Tb1 0.0000 0.0000 0.0798
Tm1 0.0000 0.0000 0.5000
Pd1 0.0000 0.0000 0.0000
# * DFT formation energy: 49 meV/atom
# * energy above the lowest structure with this stoichiometry: 0.521 eV/atom
# * raw total energy: -4.6823 eV per atom
# * spin magnetization: 0.0 μB per formula unit

> Among the records above, which one has the lowest DFT formation energy?

number 3